Record 1
Np2S3Cl | PBE | optimized geometry

Geometry as POSCAR:
```
Np2S3Cl
1.0
6.5241 -0.0034 -0.0042
0.0042 6.5241 -0.0042
0.0034 0.0034 6.5241
Np Cl S
4 2 6
direct
0.0000 0.0000 0.0000
0.5000 0.0000 0.5000
0.5000 0.5000 0.0000
0.0000 0.5000 0.5000
0.7500 0.7500 0.2500
0.2500 0.2500 0.7500
0.2500 0.7500 0.2500
0.7500 0.7500 0.7500
0.7500 0.2500 0.7500
0.7500 0.2500 0.2500
0.2500 0.7500 0.7500
0.2500 0.2500 0.2500
```

Computed properties:
Symmetry: No. 224
ΔE_f (raw), eV/atom: -1.3754
Excess energy over the best structure of this formula in the dataset, eV/atom: 0.0000

Record 2
PrIn3Cu3 | PBE | optimized geometry

Geometry as POSCAR:
```
PrIn3Cu3
1.0
-3.4450 -1.2726 -6.0454
-3.4385 -5.3556 3.0868
-5.1325 4.4421 1.9897
In Cu Pr
6 6 2
direct
0.2500 0.0000 0.5000
0.0000 0.5000 0.2500
0.5000 0.7500 0.0000
0.5000 0.2500 0.0000
0.7500 0.0000 0.5000
0.0000 0.5000 0.7500
0.0000 0.2500 0.5000
0.7500 0.5000 0.0000
0.2500 0.5000 0.0000
0.5000 0.0000 0.7500
0.5000 0.0000 0.2500
0.0000 0.7500 0.5000
0.0000 0.0000 0.0000
0.5000 0.5000 0.5000
```

Computed properties:
DFT formation energy, eV per atom: 0.254
Symmetry: No. 223

Record 3
Zr2ScGaO | PBE | optimized geometry

Geometry as POSCAR:
```
Zr2ScGaO
1.0
4.4988 0.0000 0.0000
0.0000 4.4988 0.0000
0.0000 0.0000 4.2608
O Ga Zr Sc
1 1 2 1
direct
0.0000 0.0000 0.0000
0.5000 0.5000 0.5000
0.5000 0.0000 0.0000
0.0000 0.5000 0.0000
0.0000 0.0000 0.5000
```

Computed properties:
Symmetry: No. 123
ΔE_f (raw), eV/atom: -1.2749

Record 4
Sr2InO2 | PBE | optimized geometry

Geometry as POSCAR:
```
Sr2InO2
1.0
-7.8282 -0.7563 0.6583
0.5008 -7.4381 -2.5902
0.3561 -1.0361 3.0441
O Sr In
4 4 2
direct
0.8664 0.3664 0.5000
0.3664 0.1336 0.5000
0.6336 0.8664 0.5000
0.1336 0.6336 0.5000
0.6346 0.1346 0.0000
0.1346 0.3654 0.0000
0.3654 0.8654 0.0000
0.8654 0.6346 0.0000
0.0000 0.0000 0.0000
0.5000 0.5000 0.0000
```

Computed properties:
Symmetry: No. 127
ΔE_f (raw), eV/atom: -1.2601
Excess energy over the best structure of this formula in the dataset, eV/atom: 0.4610

Record 5
LaSb2Mo | PBE | optimized geometry

Geometry as POSCAR:
```
LaSb2Mo
1.0
8.9341 0.0040 0.0024
8.1701 3.6151 0.0024
8.1701 1.7287 3.1750
Sb La Mo
2 1 1
direct
0.4846 0.4846 0.4846
0.0154 0.0154 0.0154
0.2500 0.2500 0.2500
0.7500 0.7500 0.7500
```

Computed properties:
Symmetry: No. 166
ΔE_f (raw), eV/atom: -0.1135
Excess energy over the best structure of this formula in the dataset, eV/atom: 0.1798

Record 6
Ag12As3Br5 | PBE | optimized geometry

Geometry as POSCAR:
```
Ag12As3Br5
1.0
-3.6214 11.0846 -7.4041
-1.9986 -11.4134 -7.5195
-7.7139 -0.6151 11.4420
Br Ag As
20 48 12
direct
0.7500 0.1250 0.8750
0.7500 0.6250 0.3750
0.8750 0.2500 0.6250
0.0000 0.0000 0.0000
0.1250 0.3750 0.2500
0.6250 0.8750 0.2500
0.0000 0.5000 0.5000
0.3750 0.2500 0.1250
0.2500 0.8750 0.1250
0.0000 0.5000 0.0000
0.1250 0.7500 0.3750
0.5000 0.0000 0.5000
0.5000 0.5000 0.5000
0.0000 0.0000 0.5000
0.6250 0.7500 0.8750
0.8750 0.6250 0.7500
0.5000 0.0000 0.0000
0.5000 0.5000 0.0000
0.3750 0.1250 0.7500
0.2500 0.3750 0.6250
0.5629 0.6373 0.3923
0.6706 0.4256 0.5629
0.5744 0.3294 0.9371
0.0629 0.1706 0.4256
0.4371 0.3627 0.6077
0.1706 0.0629 0.9256
0.1373 0.3923 0.0629
0.6373 0.0744 0.2450
0.6077 0.8627 0.4371
0.6077 0.7450 0.6706
0.3294 0.7550 0.3923
0.1373 0.7450 0.5744
0.7450 0.1373 0.0744
0.3627 0.4371 0.1077
0.6373 0.5629 0.8923
0.8923 0.0629 0.6373
0.8294 0.8923 0.2550
0.0744 0.4371 0.8294
0.3294 0.5744 0.4371
0.8627 0.6077 0.9371
0.3627 0.9256 0.7550
0.3923 0.2550 0.3294
0.8294 0.9371 0.0744
0.6706 0.2450 0.6077
0.8923 0.8294 0.7550
0.4371 0.0744 0.3294
0.8627 0.2550 0.4256
0.7550 0.3294 0.8923
0.0629 0.8923 0.1373
0.4256 0.6706 0.0629
0.2550 0.3923 0.8294
0.1706 0.1077 0.7450
0.4256 0.7550 0.8627
0.1077 0.9371 0.3627
0.3923 0.1373 0.5629
0.7550 0.4256 0.3627
0.9371 0.1077 0.8627
0.9256 0.5629 0.1706
0.1077 0.1706 0.2450
0.5629 0.9256 0.6706
0.5744 0.2450 0.1373
0.2450 0.5744 0.6373
0.9256 0.3627 0.2550
0.2450 0.6706 0.1077
0.7450 0.6077 0.1706
0.9371 0.8294 0.5744
0.0744 0.6373 0.7450
0.2550 0.8627 0.9256
0.3750 0.7500 0.6250
0.3750 0.6250 0.2500
0.1250 0.8750 0.7500
0.2500 0.1250 0.3750
0.1250 0.2500 0.8750
0.7500 0.3750 0.1250
0.2500 0.6250 0.8750
0.6250 0.2500 0.3750
0.7500 0.8750 0.6250
0.8750 0.1250 0.2500
0.6250 0.3750 0.7500
0.8750 0.7500 0.1250
```

Computed properties:
Symmetry: No. 230
ΔE_f (raw), eV/atom: -0.0007

Record 7
HIr2RuW | PBE | optimized geometry

Geometry as POSCAR:
```
HIr2RuW
1.0
-1.6032 -2.9604 -1.9452
2.1169 0.9113 -3.1316
2.9514 -2.4422 1.2844
Ir Ru H W
2 1 1 1
direct
0.0000 0.5000 0.0000
0.5000 0.0000 0.0000
0.5000 0.5000 0.5000
0.0000 0.0000 0.0000
0.0000 0.0000 0.5000
```

Computed properties:
Symmetry: No. 123
Excess energy over the best structure of this formula in the dataset, eV/atom: 0.0633

Record 8
InReSi2 | PBE | optimized geometry

Geometry as POSCAR:
```
InReSi2
1.0
-5.6433 -2.1279 -2.1764
3.9075 -2.0045 -1.0563
-1.1334 -2.8333 1.0512
Si In Re
2 1 1
direct
0.0000 0.0000 0.0000
0.5000 0.0000 0.5000
0.0000 0.5000 0.5000
0.5000 0.5000 0.0000
```

Computed properties:
Symmetry: No. 12
ΔE_f (raw), eV/atom: 0.5861